This record from the Alexandria database describes a relaxed structure of Pm9Tl2Pb. The functional is GGA-PBE.

Lattice parameters (Å, degrees): 4.9664 4.9664 14.8825 90.00 90.00 90.00
Sites, in units of the cell vectors:
Pm: 0.0000 0.0000 0.0000
Pm: 0.0000 0.0000 0.3335
Pm: 0.0000 0.0000 0.6665
Pm: 0.0000 0.5000 0.1665
Pm: 0.0000 0.5000 0.5000
Pm: 0.0000 0.5000 0.8335
Pm: 0.5000 0.0000 0.1665
Pm: 0.5000 0.0000 0.5000
Pm: 0.5000 0.0000 0.8335
Tl: 0.5000 0.5000 0.3339
Tl: 0.5000 0.5000 0.6661
Pb: 0.5000 0.5000 0.0000

Summary:
- Magnetization: 0.0 μB per formula unit
- Formation energy from the elements: -247.3 meV per atom